V2ReBiO8, relaxed, DFT PBE with a Hubbard U; crystal system = monoclinic; electronic total energy = -90.57 eV per cell; calculated density = 7.0 g/cm3; DOS at the Fermi energy = 0.12 states/eV per atom
1.0
3.381 -3.341 0.000
3.381 3.341 0.000
-0.121 0.000 6.519
V Re Bi O
2 1 1 8
direct
0.003 0.003 0.249
0.997 0.997 0.751
0.500 0.500 0.000
0.500 0.500 0.500
0.172 0.172 0.491
0.215 0.215 0.994
0.299 0.698 0.212
0.302 0.701 0.788
0.698 0.299 0.212
0.701 0.302 0.788
0.785 0.785 0.006
0.828 0.828 0.509